Here is a relaxed TcHg2Os crystal from Alexandria. Energies are from PBE-GGA.

Geometry as CIF:
```
data_TcHg2Os
_symmetry_space_group_name_H-M 'C m m m'
_symmetry_Int_Tables_number 65
_symmetry_space_group_name_Hall '-C 2 2'
_cell_length_a 5.7812
_cell_length_b 8.6016
_cell_length_c 2.8671
_cell_angle_alpha 90.00
_cell_angle_beta 90.00
_cell_angle_gamma 90.00
loop_
_atom_site_label
_atom_site_type_symbol
_atom_site_fract_x
_atom_site_fract_y
_atom_site_fract_z
_atom_site_occupancy
Tc1 Tc 0.0000 0.0000 0.0000 1
Hg1 Hg 0.2500 0.2500 0.5000 1
Os1 Os 0.0000 0.5000 0.0000 1
```

density of states at the Fermi level = 1.00 states/eV per atom
polymorph energy (0 for the lowest one) = 0.688 eV per atom
E = -18.2 eV per formula unit
energy of formation from the pure elements = 97.6 kJ per mole of atoms


Here is a relaxed CsYC2 crystal from Alexandria. Energies are from PBE-GGA.

Geometry as CIF:
```
data_CsYC2
_symmetry_space_group_name_H-M 'I -4 2 d'
_symmetry_Int_Tables_number 122
_symmetry_space_group_name_Hall 'I -4 2bw'
_cell_length_a 5.4901
_cell_length_b 5.4901
_cell_length_c 14.8078
_cell_angle_alpha 90.00
_cell_angle_beta 90.00
_cell_angle_gamma 90.00
loop_
_atom_site_label
_atom_site_type_symbol
_atom_site_fract_x
_atom_site_fract_y
_atom_site_fract_z
_atom_site_occupancy
Cs1 Cs 0.0000 0.0000 0.0000 1
Y1 Y 0.0000 0.0000 0.5000 1
C1 C 0.0603 0.2500 0.6250 1
```

density of states at the Fermi level = 0.89 states/eV per atom
polymorph energy (0 for the lowest one) = 0.000 eV per atom
E = -19.4 eV per formula unit
energy of formation from the pure elements = 153.0 kJ per mole of atoms


Here is a relaxed BaSnRu2Cl crystal from Alexandria. Energies are from PBE-GGA.

Geometry as CIF:
```
data_BaSnRu2Cl
_symmetry_space_group_name_H-M 'P 4/m m m'
_symmetry_Int_Tables_number 123
_symmetry_space_group_name_Hall '-P 4 2'
_cell_length_a 5.1025
_cell_length_b 5.1025
_cell_length_c 6.5552
_cell_angle_alpha 90.00
_cell_angle_beta 90.00
_cell_angle_gamma 90.00
loop_
_atom_site_label
_atom_site_type_symbol
_atom_site_fract_x
_atom_site_fract_y
_atom_site_fract_z
_atom_site_occupancy
Ba1 Ba 0.0000 0.0000 0.0000 1
Sn1 Sn 0.0000 0.0000 0.5000 1
Ru1 Ru 0.0000 0.5000 0.0000 1
Cl1 Cl 0.5000 0.5000 0.5000 1
```

density of states at the Fermi level = 0.97 states/eV per atom
E = -16.8 eV per formula unit
energy relative to the elements, uncorrected = 1.900 eV per atom


Here is a relaxed Mg2ScAgO crystal from Alexandria. Energies are from PBE-GGA.

Geometry as CIF:
```
data_Mg2ScAgO
_symmetry_space_group_name_H-M 'P 4/m m m'
_symmetry_Int_Tables_number 123
_symmetry_space_group_name_Hall '-P 4 2'
_cell_length_a 4.2853
_cell_length_b 4.2853
_cell_length_c 4.4420
_cell_angle_alpha 90.00
_cell_angle_beta 90.00
_cell_angle_gamma 90.00
loop_
_atom_site_label
_atom_site_type_symbol
_atom_site_fract_x
_atom_site_fract_y
_atom_site_fract_z
_atom_site_occupancy
Mg1 Mg 0.0000 0.5000 0.0000 1
Sc1 Sc 0.0000 0.0000 0.5000 1
Ag1 Ag 0.5000 0.5000 0.5000 1
O1 O 0.0000 0.0000 0.0000 1
```

density of states at the Fermi level = 0.62 states/eV per atom
E = -22.8 eV per formula unit
energy relative to the elements, uncorrected = -1.088 eV per atom


Here is a relaxed Yb2Br3 crystal from Alexandria. Energies are from PBE-GGA.

Geometry as CIF:
```
data_Yb2Br3
_symmetry_space_group_name_H-M 'P -1'
_symmetry_Int_Tables_number 2
_cell_length_a 4.3127
_cell_length_b 9.1318
_cell_length_c 10.1947
_cell_angle_alpha 71.14
_cell_angle_beta 89.93
_cell_angle_gamma 76.35
loop_
_symmetry_equiv_pos_as_xyz
'x,y,z'
'-x,-y,-z'
loop_
_atom_site_label
_atom_site_type_symbol
_atom_site_fract_x
_atom_site_fract_y
_atom_site_fract_z
_atom_site_occupancy
Yb1 Yb 0.0740 0.3507 0.2278 1
Yb2 Yb 0.3705 0.7587 0.0766 1
Br1 Br 0.0784 0.3446 0.7278 1
Br2 Br 0.2106 0.0780 0.1195 1
Br3 Br 0.3642 0.7738 0.6000 1
```

density of states at the Fermi level = 0.00 states/eV per atom
E = -16.9 eV per formula unit
energy relative to the elements, uncorrected = -1.768 eV per atom


Here is a relaxed HfV8Mo3 crystal from Alexandria. Energies are from PBE-GGA.

Geometry as CIF:
```
data_HfV8Mo3
_symmetry_space_group_name_H-M 'P 3 m 1'
_symmetry_Int_Tables_number 156
_cell_length_a 5.0404
_cell_length_b 5.0404
_cell_length_c 8.0781
_cell_angle_alpha 90.00
_cell_angle_beta 90.00
_cell_angle_gamma 120.00
loop_
_symmetry_equiv_pos_as_xyz
'x,y,z'
'-y,x-y,z'
'-x+y,-x,z'
'-y,-x,z'
'-x+y,y,z'
'x,x-y,z'
loop_
_atom_site_label
_atom_site_type_symbol
_atom_site_fract_x
_atom_site_fract_y
_atom_site_fract_z
_atom_site_occupancy
Hf1 Hf 0.0000 0.0000 0.0000 1
V1 V 0.1640 0.3280 0.6816 1
V2 V 0.3333 0.6667 0.4381 1
V3 V 0.3333 0.6667 0.9368 1
V4 V 0.5029 0.0057 0.1930 1
Mo1 Mo 0.0000 0.0000 0.3802 1
Mo2 Mo 0.6667 0.3333 0.4981 1
Mo3 Mo 0.6667 0.3333 0.8749 1
```

density of states at the Fermi level = 0.58 states/eV per atom
E = -115.6 eV per formula unit
energy of formation from the pure elements = -1.8 kJ per mole of atoms


Here is a relaxed Ac4MgRh crystal from Alexandria. Energies are from PBE-GGA.

Geometry as CIF:
```
data_Ac4MgRh
_symmetry_space_group_name_H-M 'P 4/m m m'
_symmetry_Int_Tables_number 123
_symmetry_space_group_name_Hall '-P 4 2'
_cell_length_a 5.3201
_cell_length_b 5.3201
_cell_length_c 8.2459
_cell_angle_alpha 90.00
_cell_angle_beta 90.00
_cell_angle_gamma 90.00
loop_
_atom_site_label
_atom_site_type_symbol
_atom_site_fract_x
_atom_site_fract_y
_atom_site_fract_z
_atom_site_occupancy
Ac1 Ac 0.0000 0.5000 0.2184 1
Mg1 Mg 0.0000 0.0000 0.5000 1
Rh1 Rh 0.5000 0.5000 0.0000 1
```

density of states at the Fermi level = 1.51 states/eV per atom
polymorph energy (0 for the lowest one) = 0.290 eV per atom
E = -25.6 eV per formula unit
energy of formation from the pure elements = -2.8 kJ per mole of atoms


Here is a relaxed NaAc4Te6 crystal from Alexandria. Energies are from PBE-GGA.

Geometry as CIF:
```
data_NaAc4Te6
_symmetry_space_group_name_H-M 'R -3 c'
_symmetry_Int_Tables_number 167
_symmetry_space_group_name_Hall '-R 3 2"c'
_cell_length_a 13.0759
_cell_length_b 13.0759
_cell_length_c 15.7806
_cell_angle_alpha 90.00
_cell_angle_beta 90.00
_cell_angle_gamma 120.00
loop_
_atom_site_label
_atom_site_type_symbol
_atom_site_fract_x
_atom_site_fract_y
_atom_site_fract_z
_atom_site_occupancy
Na1 Na 0.0000 0.0000 0.0000 1
Ac1 Ac 0.0000 0.0000 0.2500 1
Ac2 Ac 0.0000 0.3904 0.2500 1
Te1 Te 0.0319 0.2059 0.3866 1
```

density of states at the Fermi level = 0.50 states/eV per atom
polymorph energy (0 for the lowest one) = 0.000 eV per atom
E = -52.6 eV per formula unit
energy relative to the elements, uncorrected = -1.456 eV per atom


Here is a relaxed ScCdFe2Au crystal from Alexandria. Energies are from PBE-GGA.

Geometry as CIF:
```
data_ScCdFe2Au
_symmetry_space_group_name_H-M 'P 4/m m m'
_symmetry_Int_Tables_number 123
_symmetry_space_group_name_Hall '-P 4 2'
_cell_length_a 4.4001
_cell_length_b 4.4001
_cell_length_c 5.2881
_cell_angle_alpha 90.00
_cell_angle_beta 90.00
_cell_angle_gamma 90.00
loop_
_atom_site_label
_atom_site_type_symbol
_atom_site_fract_x
_atom_site_fract_y
_atom_site_fract_z
_atom_site_occupancy
Sc1 Sc 0.0000 0.0000 0.0000 1
Cd1 Cd 0.0000 0.0000 0.5000 1
Fe1 Fe 0.0000 0.5000 0.0000 1
Au1 Au 0.5000 0.5000 0.5000 1
```

density of states at the Fermi level = 1.10 states/eV per atom
E = -21.3 eV per formula unit
energy of formation from the pure elements = 117.8 kJ per mole of atoms


Here is a relaxed Ga2CuIr crystal from Alexandria. Energies are from PBE-GGA.

Geometry as CIF:
```
data_Ga2CuIr
_symmetry_space_group_name_H-M 'P 4/m m m'
_symmetry_Int_Tables_number 123
_symmetry_space_group_name_Hall '-P 4 2'
_cell_length_a 3.1124
_cell_length_b 3.1124
_cell_length_c 5.8258
_cell_angle_alpha 90.00
_cell_angle_beta 90.00
_cell_angle_gamma 90.00
loop_
_atom_site_label
_atom_site_type_symbol
_atom_site_fract_x
_atom_site_fract_y
_atom_site_fract_z
_atom_site_occupancy
Ga1 Ga 0.0000 0.0000 0.2429 1
Cu1 Cu 0.5000 0.5000 0.0000 1
Ir1 Ir 0.5000 0.5000 0.5000 1
```

density of states at the Fermi level = 0.40 states/eV per atom
E = -19.8 eV per formula unit
energy of formation from the pure elements = -18.8 kJ per mole of atoms


Total moment for every record listed, in sequence, given in μB/f.u.: 3.30 1.58 2.72 0.00 0.00 0.00 0.00 0.00 3.94 0.00.